Here is a crystal of CuHgIr2 relaxed with PBEsol from the Alexandria database. Energies are from SCAN.

a b c (Å): 2.776 4.780 4.765
angles (deg): 101.40 90.00 106.88
Positions (direct):
Cu  0.500  0.000  0.000
Hg  0.000  0.000  0.500
Ir  0.239  0.477  0.228
Ir  0.761  0.523  0.772

Values from the calculation:
Energy above the most stable polymorph in this dataset   0.0 meV per atom
Volume   59.2 Å³/cell
Crystal system   monoclinic
Formation energy   0.3453 eV per atom
Space-group type   C2/m (12)
Total magnetic moment   0.00 Bohr magnetons per cell